Version i
# Cr2CuRe

An optimized crystal structure of Cr2CuRe (PBE-GGA, the Alexandria database).

a b c (Å): 5.941 5.941 5.941
angles (deg): 90.00 90.00 90.00
Space group Fm-3m (No. 225)
Asymmetric unit:
1 Cr 0.250 0.250 0.250 [8 per cell]
2 Cu 0.000 0.000 0.000 [4 per cell]
3 Re 0.000 0.000 0.500 [4 per cell]

Spin magnetization = 14.22 Bohr magnetons per cell



Version ii
# Cr2CuRe

An optimized crystal structure of Cr2CuRe (PBE-GGA, the Alexandria database).

a b c (Å): 2.6377 2.6377 26.0382
angles (deg): 90.00 90.00 120.00
Space group R-3m (No. 166, hexagonal axes)
Asymmetric unit:
1 Cr 0.0000 0.0000 0.2491 [6 per cell]
2 Cu 0.0000 0.0000 0.5000 [3 per cell]
3 Re 0.0000 0.0000 0.0000 [3 per cell]

Spin magnetization = 2.05 Bohr magnetons per cell



Order from most stable to least stable according to the calculation: version i, version ii